i) # ScOsSe | the Alexandria database | PBE | optimized geometry
data_ScOsSe
_symmetry_space_group_name_H-M 'P 1'
_symmetry_Int_Tables_number 1
_symmetry_space_group_name_Hall 'P 1'
_cell_length_a 3.202
_cell_length_b 3.202
_cell_length_c 6.129
_cell_angle_alpha 90.00
_cell_angle_beta 90.00
_cell_angle_gamma 120.00
loop_
_atom_site_label
_atom_site_fract_x
_atom_site_fract_y
_atom_site_fract_z
Sc1 0.000 0.000 0.000
Os1 0.333 0.667 0.683
Se1 0.667 0.333 0.356
# magnetic moment: 0.00 μB/atom
# D(E_F): 3.539 states/eV per cell
# symmetry: P3m1 (156)

=====

ii) # ScOsSe | the Alexandria database | PBE | optimized geometry
data_ScOsSe
_symmetry_space_group_name_H-M 'P 1'
_symmetry_Int_Tables_number 1
_symmetry_space_group_name_Hall 'P 1'
_cell_length_a 5.798
_cell_length_b 5.798
_cell_length_c 5.798
_cell_angle_alpha 148.93
_cell_angle_beta 148.93
_cell_angle_gamma 44.52
loop_
_atom_site_label
_atom_site_fract_x
_atom_site_fract_y
_atom_site_fract_z
Sc1 0.000 0.000 0.000
Os1 0.667 0.667 0.000
Se1 0.311 0.311 0.000
# magnetic moment: 0.00 μB/atom
# D(E_F): 1.719 states/eV per cell
# symmetry: I4mm (107)

=====

Most stable: ii)